The following is a PBE-GGA calculation of CePm2TmSe4 after structural relaxation, from Alexandria via LeMat-Bulk.

- E_form (uncorrected) (eV/atom) = -1.790

abc: 4.1177 7.2396 7.1887
angles: 109.01 90.00 90.00
Closest atoms and distances in Å follow each position.
Positions (direct):
Se (0.5000, 0.2384, 0.2383)  2 Tm 2.87, 1 Ce 2.94, 3 Pm 2.94-3.01
Tm (0.0000, 0.0000, 0.0000)  6 Se 2.87
Se (0.0000, 0.7561, 0.2443)  1 Tm 2.87, 3 Pm 2.94-3.01, 2 Ce 2.94
Pm (0.0000, 0.5000, 0.5000)  6 Se 3.01
Se (0.5000, 0.7616, 0.7617)  2 Tm 2.87, 1 Ce 2.94, 3 Pm 2.94-3.01
Se (0.0000, 0.2439, 0.7557)  1 Tm 2.87, 3 Pm 2.94-3.01, 2 Ce 2.94
Ce (0.5000, 0.5000, 0.0000)  6 Se 2.94
Pm (0.5000, 0.0000, 0.5000)  6 Se 2.94

***

The following is a PBE-GGA calculation of CePm3Tm3Se8 after structural relaxation, from Alexandria via LeMat-Bulk.

- E_form (uncorrected) (eV/atom) = -1.807

abc: 8.1967 8.1966 8.2182
angles: 119.91 90.00 120.00
Closest atoms and distances in Å follow each position.
Positions (direct):
Tm (0.5000, 0.0000, 0.5000)  6 Se 2.84
Se (0.2551, 0.5102, 0.2654)  3 Tm 2.84, 3 Pm 2.96
Se (0.7424, 0.0110, 0.2534)  2 Tm 2.84, 2 Pm 2.97, 1 Ce 2.99
Se (0.2686, 0.0110, 0.2534)  2 Tm 2.84, 2 Pm 2.97, 1 Ce 2.99
Se (0.7424, 0.4848, 0.2534)  2 Tm 2.84, 2 Pm 2.97, 1 Ce 2.99
Tm (0.5000, 0.5000, 0.5000)  6 Se 2.84
Se (0.7314, 0.9890, 0.7466)  2 Tm 2.84, 2 Pm 2.97, 1 Ce 2.99
Se (0.2576, 0.9890, 0.7466)  2 Tm 2.84, 2 Pm 2.97, 1 Ce 2.99
Se (0.7449, 0.4898, 0.7346)  3 Tm 2.84, 3 Pm 2.96
Pm (0.5000, 0.5000, 0.0000)  6 Se 2.96-2.97
Ce (0.0000, 0.0000, 0.5000)  6 Se 2.99
Tm (0.0000, 0.5000, 0.5000)  6 Se 2.84
Se (0.2576, 0.5152, 0.7466)  2 Tm 2.84, 2 Pm 2.97, 1 Ce 2.99
Pm (0.0000, 0.5000, 0.0000)  6 Se 2.96-2.97
Pm (0.0000, 0.0000, 0.0000)  6 Se 2.96-2.97